[1]
CuSiP2 (PBE, relaxed); crystal system = trigonal
1.0
1.394 0.805 8.329
-1.394 0.805 8.329
0.000 -1.610 8.329
Cu Si P
1 1 2
Cartesian
0.000 0.000 0.000
0.000 0.000 12.493
0.000 0.000 6.412
0.000 0.000 18.574

[2]
CuSiP (PBE, relaxed); crystal system = hexagonal
1.0
6.333 0.000 0.000
-3.166 5.484 0.000
0.000 0.000 3.822
Cu Si P
3 3 3
Cartesian
-0.781 1.352 0.000
1.561 0.000 0.000
2.386 4.132 0.000
0.000 0.000 1.911
0.000 3.656 0.000
3.166 1.828 0.000
-2.023 3.504 1.911
1.143 1.980 1.911
4.046 0.000 1.911

[3]
CuSiP3 (PBE, relaxed); crystal system = cubic
1.0
4.477 0.000 0.000
0.000 4.477 0.000
0.000 0.000 4.477
Cu Si P
1 1 3
Cartesian
0.000 0.000 0.000
2.239 2.239 2.239
0.000 2.239 2.239
2.239 0.000 2.239
2.239 2.239 0.000

[4]
CuSiP2 (PBE, relaxed); crystal system = orthorhombic
1.0
3.407 0.000 0.000
0.000 3.423 0.000
0.000 0.000 5.091
Cu Si P
1 1 2
Cartesian
0.000 0.000 0.000
0.000 1.711 2.545
1.704 0.000 2.545
1.704 1.711 0.000

[5]
Cu3SiP (PBE, relaxed); crystal system = cubic
1.0
4.393 0.000 0.000
0.000 4.393 0.000
0.000 0.000 4.393
Cu Si P
3 1 1
Cartesian
0.000 0.000 2.196
0.000 2.196 0.000
2.196 0.000 0.000
0.000 0.000 0.000
2.196 2.196 2.196

[6]
CuSi4P3 (PBE, relaxed); crystal system = trigonal
1.0
1.912 1.104 11.953
-1.912 1.104 11.953
0.000 -2.207 11.953
Cu Si P
1 4 3
Cartesian
0.000 0.000 0.000
0.000 0.000 2.375
0.000 0.000 9.281
0.000 0.000 18.119
0.000 0.000 27.044
0.000 0.000 11.476
0.000 0.000 20.390
0.000 0.000 29.381

[7]
CuSiP (PBE, relaxed); crystal system = hexagonal
1.0
4.354 0.000 0.000
-2.177 3.771 0.000
0.000 0.000 2.563
Cu Si P
1 1 1
Cartesian
0.000 0.000 0.000
0.000 2.514 0.000
2.177 1.257 0.000

[8]
CuSiP2 (PBE, relaxed); crystal system = monoclinic
1.0
2.645 0.000 0.000
0.000 3.787 0.000
-1.310 0.000 6.647
Cu Si P
1 1 2
Cartesian
0.000 0.000 0.000
0.012 1.894 3.655
0.009 0.000 2.364
0.014 1.894 5.939

[9]
CuSiP2 (PBE, relaxed); crystal system = tetragonal
1.0
2.941 0.000 0.000
0.000 2.941 0.000
0.000 0.000 6.420
Cu Si P
1 1 2
Cartesian
0.000 0.000 0.000
0.000 0.000 3.210
1.471 1.471 1.617
1.471 1.471 4.804

[10]
CuSiP2 (PBE, relaxed); crystal system = tetragonal
1.0
3.434 0.000 0.000
0.000 3.434 0.000
0.000 0.000 4.949
Cu Si P
1 1 2
Cartesian
0.000 0.000 0.000
1.717 1.717 0.000
0.000 0.000 2.474
1.717 1.717 2.474

[11]
CuSiP2 (PBE, relaxed); crystal system = orthorhombic
1.0
3.453 0.000 0.000
0.000 3.474 0.000
0.000 0.000 4.853
Cu Si P
1 1 2
Cartesian
0.000 0.000 0.000
1.726 1.737 2.427
0.000 0.000 2.427
1.726 1.737 0.000

[12]
CuSiP2 (PBE, relaxed); crystal system = tetragonal
1.0
-2.646 2.646 5.168
2.646 -2.646 5.168
2.646 2.646 -5.168
Cu Si P
2 2 4
Cartesian
0.000 0.000 0.000
0.000 2.646 2.584
2.646 0.000 2.584
0.000 0.000 5.168
3.970 1.320 -1.292
1.320 1.323 1.292
-1.323 1.326 3.876
1.326 1.323 6.460

[13]
CuSiP2 (PBE, relaxed); crystal system = cubic
1.0
0.000 3.043 3.043
3.043 0.000 3.043
3.043 3.043 0.000
Cu Si P
1 1 2
Cartesian
0.000 0.000 0.000
4.564 4.564 4.564
1.521 1.521 1.521
3.043 3.043 3.043

[14]
CuSi2SnP (PBE, relaxed); crystal system = tetragonal
1.0
4.440 0.000 0.000
0.000 4.440 0.000
0.000 0.000 5.421
Cu Si Sn P
1 2 1 1
Cartesian
0.000 0.000 0.000
0.000 2.220 2.711
2.220 0.000 2.711
2.220 2.220 0.000
2.220 2.220 2.711

[15]
TiCuSiP2 (PBE, relaxed); crystal system = tetragonal
1.0
4.440 0.000 0.000
0.000 4.440 0.000
0.000 0.000 4.684
Ti Cu Si P
1 1 1 2
Cartesian
0.000 0.000 0.000
2.220 2.220 0.000
0.000 0.000 2.342
0.000 2.220 2.342
2.220 0.000 2.342

[16]
Y2CuSiP (PBE, relaxed); crystal system = tetragonal
1.0
5.296 0.000 0.000
0.000 5.296 0.000
0.000 0.000 4.144
Y Cu Si P
2 1 1 1
Cartesian
0.000 2.648 0.000
2.648 0.000 0.000
0.000 0.000 0.000
0.000 0.000 2.072
2.648 2.648 2.072

[17]
SmCu3P2 (PBE, relaxed); crystal system = monoclinic
1.0
7.331 -1.953 0.000
7.331 1.953 0.000
-3.278 0.000 6.523
Sm Cu P
2 6 4
Cartesian
1.935 0.000 0.345
9.450 0.000 6.179
-0.514 0.000 2.552
2.732 0.000 3.697
4.783 0.000 2.179
6.601 0.000 4.345
8.652 0.000 2.827
11.898 0.000 3.971
0.615 0.000 4.622
4.469 0.000 5.271
6.915 0.000 1.252
10.769 0.000 1.901

[18]
SmCu4P3 (PBE, relaxed); crystal system = tetragonal
1.0
3.995 0.000 0.000
0.000 3.995 0.000
0.000 0.000 7.560
Sm Cu P
1 4 3
Cartesian
0.000 0.000 0.000
0.000 1.998 2.441
0.000 1.998 5.120
1.998 0.000 2.441
1.998 0.000 5.120
0.000 0.000 3.780
1.998 1.998 1.143
1.998 1.998 6.417

[19]
Sm3Cu6P5 (PBE, relaxed); crystal system = orthorhombic
1.0
3.882 0.000 0.000
0.000 11.971 0.000
0.000 0.000 9.797
Sm Cu P
6 12 10
Cartesian
0.970 1.086 2.442
0.970 4.899 2.442
0.970 8.978 2.508
2.911 2.993 7.289
2.911 7.071 7.356
2.911 10.885 7.356
0.970 0.797 5.913
0.970 2.993 4.763
0.970 2.993 9.678
0.970 5.189 5.913
0.970 6.959 0.058
0.970 10.997 0.058
2.911 0.973 9.740
2.911 5.012 9.740
2.911 6.782 3.885
2.911 8.978 0.119
2.911 8.978 5.034
2.911 11.174 3.885
0.970 0.963 8.307
0.970 5.023 8.307
0.970 7.449 5.104
0.970 8.978 8.498
0.970 10.507 5.104
2.911 1.464 4.693
2.911 2.993 1.299
2.911 4.522 4.693
2.911 6.948 1.490
2.911 11.008 1.490

[20]
SmCu3P3 (PBE, relaxed); crystal system = cubic
1.0
6.313 0.000 0.000
0.000 6.313 0.000
0.000 0.000 6.313
Sm Cu P
2 6 6
Cartesian
0.000 0.000 0.000
3.156 3.156 3.156
0.000 1.578 3.156
0.000 4.734 3.156
1.578 3.156 0.000
3.156 0.000 1.578
3.156 0.000 4.734
4.734 3.156 0.000
0.000 3.156 1.578
0.000 3.156 4.734
1.578 0.000 3.156
3.156 1.578 0.000
3.156 4.734 0.000
4.734 0.000 3.156

[21]
SmCu6P4 (PBE, relaxed); crystal system = hexagonal
1.0
6.953 0.000 0.000
-3.477 6.022 0.000
0.000 0.000 3.787
Sm Cu P
1 6 4
Cartesian
0.000 0.000 0.000
0.000 2.469 1.894
-1.338 4.787 1.894
3.477 0.442 0.000
2.121 2.790 0.000
1.338 4.787 1.894
4.832 2.790 0.000
0.000 4.014 0.000
1.959 1.131 1.894
4.994 1.131 1.894
3.477 3.760 1.894

[22]
SrSmCu2P2 (PBE, relaxed); crystal system = trigonal
1.0
4.036 0.000 0.000
-2.018 3.495 0.000
0.000 0.000 8.401
Sr Sm Cu P
1 1 2 2
Cartesian
0.000 0.000 0.000
0.000 0.000 4.201
0.000 2.330 6.138
2.018 1.165 2.263
0.000 2.330 2.216
2.018 1.165 6.186

[23]
Cu4SnP10 (PBE, relaxed); crystal system = trigonal
1.0
3.662 2.114 5.972
-3.662 2.114 5.972
0.000 -4.229 5.972
Cu Sn P
4 1 10
Cartesian
0.000 0.000 0.000
-1.857 -1.072 8.239
1.857 -1.072 8.239
0.000 2.145 8.239
0.000 0.000 10.243
0.000 -2.065 3.011
-1.789 1.033 3.011
-1.776 -1.025 5.978
0.000 -2.085 5.204
-1.806 1.043 5.204
0.000 0.000 2.276
1.789 1.033 3.011
1.776 -1.025 5.978
0.000 2.051 5.978
1.806 1.043 5.204

[24]
Cu2SnP (PBE, relaxed); crystal system = tetragonal
1.0
-2.251 2.251 7.371
2.251 -2.251 7.371
2.251 2.251 -7.371
Cu Sn P
4 2 2
Cartesian
3.377 0.594 -1.843
0.594 1.126 1.843
-1.126 1.658 5.528
1.658 1.126 9.213
2.251 0.000 3.685
0.000 0.000 7.371
0.000 0.000 0.000
0.000 2.251 3.685

[25]
CuSn2P (PBE, relaxed); crystal system = trigonal
1.0
1.851 1.069 8.384
-1.851 1.069 8.384
0.000 -2.138 8.384
Cu Sn P
1 2 1
Cartesian
0.000 0.000 0.000
0.000 0.000 2.512
0.000 0.000 22.639
0.000 0.000 12.576

The records above yield total DFT energy (no corrections) values of -4.63 -4.65 -4.20 -4.61 -3.84 -5.20 -4.69 -4.99 -4.60 -4.87 -5.01 -5.21 -4.51 -4.00 -4.84 -5.76 -5.21 -5.12 -5.41 -4.99 -4.88 -5.14 -5.09 -4.35 -4.04 eV/atom, respectively.
The records above yield magnetization values of 0.00 0.00 0.00 0.00 0.00 0.00 0.00 0.00 0.00 0.00 0.00 0.00 0.00 0.00 0.00 0.00 0.00 0.00 0.00 0.00 0.00 0.00 0.00 0.00 0.00 μB per atom, respectively.